## PuScHgPd (PBE)

Data for a relaxed structure of PuScHgPd.

The structure belongs to space group F-43m (No. 216); the cell edges are 7.1059, 7.1059 and 7.1059 Å and the angles 90.00°, 90.00° and 90.00°. The inequivalent atoms are Pu at (0.0000, 0.0000, 0.0000), Sc at (0.0000, 0.0000, 0.5000), Hg at (0.2500, 0.2500, 0.7500) and Pd at (0.2500, 0.2500, 0.2500).

The value obtained for the density of states at the Fermi level is 45.188 states/eV per cell. The raw total energy is -6.87 eV/atom. As for the total magnetization: 5.63 μB/f.u.


## SmPuHgPd (PBE)

Data for a relaxed structure of SmPuHgPd.

The structure belongs to space group F-43m (No. 216); the cell edges are 7.3511, 7.3511 and 7.3511 Å and the angles 90.00°, 90.00° and 90.00°. The inequivalent atoms are Sm at (0.0000, 0.0000, 0.0000), Pu at (0.0000, 0.0000, 0.5000), Hg at (0.2500, 0.2500, 0.2500) and Pd at (0.2500, 0.2500, 0.7500).

The value obtained for the density of states at the Fermi level is 45.149 states/eV per cell. The raw total energy is -6.51 eV/atom. As for the total magnetization: 5.76 μB/f.u.


## PuThHgPd (PBE)

Data for a relaxed structure of PuThHgPd.

The structure belongs to space group F-43m (No. 216); the cell edges are 7.3886, 7.3886 and 7.3886 Å and the angles 90.00°, 90.00° and 90.00°. The inequivalent atoms are Pu at (0.0000, 0.0000, 0.0000), Th at (0.0000, 0.0000, 0.5000), Hg at (0.2500, 0.2500, 0.7500) and Pd at (0.2500, 0.2500, 0.2500).

The value obtained for the density of states at the Fermi level is 49.547 states/eV per cell. The raw total energy is -7.08 eV/atom. As for the total magnetization: 6.05 μB/f.u.


## TmPuHgPd (PBE)

Data for a relaxed structure of TmPuHgPd.

The structure belongs to space group F-43m (No. 216); the cell edges are 7.2357, 7.2357 and 7.2357 Å and the angles 90.00°, 90.00° and 90.00°. The inequivalent atoms are Tm at (0.0000, 0.0000, 0.0000), Pu at (0.0000, 0.0000, 0.5000), Hg at (0.2500, 0.2500, 0.2500) and Pd at (0.2500, 0.2500, 0.7500).

The value obtained for the density of states at the Fermi level is 45.368 states/eV per cell. The raw total energy is -6.47 eV/atom. As for the total magnetization: 5.58 μB/f.u.


## PuZnHgPd (PBE)

Data for a relaxed structure of PuZnHgPd.

The structure belongs to space group F-43m (No. 216); the cell edges are 6.9097, 6.9097 and 6.9097 Å and the angles 90.00°, 90.00° and 90.00°. The inequivalent atoms are Pu at (0.0000, 0.0000, 0.0000), Zn at (0.2500, 0.2500, 0.7500), Hg at (0.0000, 0.0000, 0.5000) and Pd at (0.2500, 0.2500, 0.2500).

The value obtained for the density of states at the Fermi level is 47.697 states/eV per cell. The raw total energy is -5.46 eV/atom. As for the total magnetization: 5.75 μB/f.u.


## Rb4Hg7Pd (PBE)

Data for a relaxed structure of Rb4Hg7Pd.

The structure belongs to space group C2/m (No. 12); the cell edges are 16.9751, 5.5057 and 11.0663 Å and the angles 90.00°, 121.17° and 90.00°. The inequivalent atoms are Rb at (0.0635, 0.0000, 0.2413), Rb at (0.2376, 0.0000, 0.7506), Hg at (0.0000, 0.0000, 0.5000), Hg at (0.1043, 0.5000, 0.8032), Hg at (0.1662, 0.5000, 0.4980), Hg at (0.1731, 0.0000, 0.0135) and Pd at (0.0000, 0.5000, 0.5000).

The value obtained for the density of states at the Fermi level is 10.854 states/eV per cell. The raw total energy is -1.14 eV/atom. As for the total magnetization: 0.00 μB/f.u.


## Rb2Hg5Pd (PBE)

Data for a relaxed structure of Rb2Hg5Pd.

The structure belongs to space group I4mm (No. 107); the cell edges are 6.9841, 6.9841 and 11.5946 Å and the angles 90.00°, 90.00° and 90.00°. The inequivalent atoms are Rb at (0.0000, 0.5000, 0.0000), Hg at (0.0000, 0.0000, 0.3925), Hg at (0.2455, 0.2455, 0.7452) and Pd at (0.0000, 0.0000, 0.6294).

The value obtained for the density of states at the Fermi level is 4.548 states/eV per cell. The raw total energy is -1.29 eV/atom. As for the total magnetization: 0.00 μB/f.u.


## RbHg7Pd5 (PBE)

Data for a relaxed structure of RbHg7Pd5.

The structure belongs to space group Imm2 (No. 44); the cell edges are 5.8104, 9.8382 and 9.6697 Å and the angles 90.00°, 90.00° and 90.00°. The inequivalent atoms are Rb at (0.0000, 0.0000, 0.0000), Hg at (0.0000, 0.0000, 0.3306), Hg at (0.0000, 0.0000, 0.6601), Hg at (0.0000, 0.3035, 0.5115), Hg at (0.0000, 0.3384, 0.9918), Hg at (0.0000, 0.5000, 0.2669), Pd at (0.0000, 0.5000, 0.7446) and Pd at (0.2454, 0.2518, 0.2527).

The value obtained for the density of states at the Fermi level is 7.068 states/eV per cell. The raw total energy is -2.41 eV/atom. As for the total magnetization: 0.00 μB/f.u.